Arrangement a

! Ir2Os GGA-PBE relaxed; values from VASP
! **SG**: No. 227
&SYSTEM
  ibrav = 0, nat = 6, ntyp = 2
/
ATOMIC_SPECIES
Os 190.23 Os.upf
Ir 192.22 Ir.upf
CELL_PARAMETERS angstrom
4.819 -1.139 1.132
2.049 1.659 4.341
1.023 -3.279 3.741
ATOMIC_POSITIONS crystal
Os 0.250 0.250 0.250
Os 0.000 0.000 0.000
Ir 0.625 0.125 0.625
Ir 0.625 0.625 0.625
Ir 0.125 0.625 0.625
Ir 0.625 0.625 0.125



Arrangement b

! Ir2Os GGA-PBE relaxed; values from VASP
! **SG**: No. 227
&SYSTEM
  ibrav = 0, nat = 6, ntyp = 2
/
ATOMIC_SPECIES
Ir 192.22 Ir.upf
Os 190.23 Os.upf
CELL_PARAMETERS angstrom
3.827 2.209 6.249
-3.827 2.209 6.249
0.000 -4.419 6.249
ATOMIC_POSITIONS crystal
Ir 0.375 0.375 0.875
Ir 0.375 0.375 0.375
Ir 0.375 0.875 0.375
Ir 0.875 0.375 0.375
Os 0.500 0.500 0.500
Os 0.250 0.250 0.250



Which one sits at the top of the stability order? arrangement a does.



Arrangement a

! PaIrOs GGA-PBE relaxed; values from VASP
! **SG**: No. 216
&SYSTEM
  ibrav = 0, nat = 3, ntyp = 3
/
ATOMIC_SPECIES
Pa 231.04 Pa.upf
Ir 192.22 Ir.upf
Os 190.23 Os.upf
CELL_PARAMETERS angstrom
0.000 3.193 3.193
3.193 0.000 3.193
3.193 3.193 0.000
ATOMIC_POSITIONS crystal
Pa 0.000 0.000 0.000
Ir 0.250 0.250 0.250
Os 0.750 0.750 0.750



Arrangement b

! PaIrOs GGA-PBE relaxed; values from VASP
! **SG**: No. 216
&SYSTEM
  ibrav = 0, nat = 3, ntyp = 3
/
ATOMIC_SPECIES
Pa 231.04 Pa.upf
Ir 192.22 Ir.upf
Os 190.23 Os.upf
CELL_PARAMETERS angstrom
0.000 3.162 3.162
3.162 0.000 3.162
3.162 3.162 0.000
ATOMIC_POSITIONS crystal
Pa 0.750 0.750 0.750
Ir 0.250 0.250 0.250
Os 0.000 0.000 0.000



Which one sits at the top of the stability order? arrangement b does.



Arrangement a

! PuIrOs GGA-PBE relaxed; values from VASP
! **SG**: No. 216
&SYSTEM
  ibrav = 0, nat = 3, ntyp = 3
/
ATOMIC_SPECIES
Pu 244.00 Pu.upf
Ir 192.22 Ir.upf
Os 190.23 Os.upf
CELL_PARAMETERS angstrom
1.665 -1.315 3.818
-1.316 -3.767 1.776
2.717 -3.417 0.137
ATOMIC_POSITIONS crystal
Pu 0.750 0.750 0.750
Ir 0.250 0.250 0.250
Os 0.000 0.000 0.000



Arrangement b

! PuIrOs GGA-PBE relaxed; values from VASP
! **SG**: No. 216
&SYSTEM
  ibrav = 0, nat = 3, ntyp = 3
/
ATOMIC_SPECIES
Ir 192.22 Ir.upf
Os 190.23 Os.upf
Pu 244.00 Pu.upf
CELL_PARAMETERS angstrom
0.000 3.096 3.096
3.096 0.000 3.096
3.096 3.096 0.000
ATOMIC_POSITIONS crystal
Ir 0.750 0.750 0.750
Os 0.250 0.250 0.250
Pu 0.000 0.000 0.000



Which one sits at the top of the stability order? arrangement b does.



Arrangement a

! Ir2OsW GGA-PBE relaxed; values from VASP
! **SG**: No. 38
&SYSTEM
  ibrav = 0, nat = 8, ntyp = 3
/
ATOMIC_SPECIES
W 183.84 W.upf
Ir 192.22 Ir.upf
Os 190.23 Os.upf
CELL_PARAMETERS angstrom
4.416 0.000 0.000
0.000 2.780 4.793
0.000 -2.780 4.793
ATOMIC_POSITIONS crystal
W 0.000 0.334 0.334
W 0.500 0.666 0.666
Ir 0.500 0.167 0.668
Ir 0.000 0.834 0.834
Ir 0.500 0.166 0.166
Ir 0.500 0.668 0.167
Os 0.000 0.332 0.833
Os 0.000 0.833 0.332



Arrangement b

! Ir2OsW GGA-PBE relaxed; values from VASP
! **SG**: No. 63
&SYSTEM
  ibrav = 0, nat = 8, ntyp = 3
/
ATOMIC_SPECIES
W 183.84 W.upf
Ir 192.22 Ir.upf
Os 190.23 Os.upf
CELL_PARAMETERS angstrom
-4.919 -1.923 1.742
1.653 -0.796 -5.250
1.905 -3.808 1.177
ATOMIC_POSITIONS crystal
W 0.168 0.832 0.750
W 0.832 0.168 0.250
Ir 0.831 0.665 0.250
Ir 0.335 0.169 0.250
Ir 0.169 0.335 0.750
Ir 0.665 0.831 0.750
Os 0.666 0.334 0.750
Os 0.334 0.666 0.250



Which one sits at the top of the stability order? arrangement b does.



Arrangement a

! Ir2Os2W GGA-PBE relaxed; values from VASP
! **SG**: No. 139
&SYSTEM
  ibrav = 0, nat = 5, ntyp = 3
/
ATOMIC_SPECIES
Ir 192.22 Ir.upf
Os 190.23 Os.upf
W 183.84 W.upf
CELL_PARAMETERS angstrom
-1.805 1.805 6.191
1.805 -1.805 6.191
1.805 1.805 -6.191
ATOMIC_POSITIONS crystal
Ir 0.402 0.402 0.000
Ir 0.598 0.598 0.000
Os 0.750 0.250 0.500
Os 0.250 0.750 0.500
W 0.000 0.000 0.000



Arrangement b

! Ir2Os2W GGA-PBE relaxed; values from VASP
! **SG**: No. 139
&SYSTEM
  ibrav = 0, nat = 5, ntyp = 3
/
ATOMIC_SPECIES
Os 190.23 Os.upf
W 183.84 W.upf
Ir 192.22 Ir.upf
CELL_PARAMETERS angstrom
0.259 -0.791 -3.595
-1.321 -3.384 0.649
-5.055 4.105 0.627
ATOMIC_POSITIONS crystal
Os 0.402 0.402 0.803
Os 0.598 0.598 0.197
W 0.000 0.000 0.000
Ir 0.250 0.750 0.500
Ir 0.750 0.250 0.500



Which one sits at the top of the stability order? arrangement a does.



Arrangement a

! PaIrPd GGA-PBE relaxed; values from VASP
! **SG**: No. 216
&SYSTEM
  ibrav = 0, nat = 3, ntyp = 3
/
ATOMIC_SPECIES
Ir 192.22 Ir.upf
Pa 231.04 Pa.upf
Pd 106.42 Pd.upf
CELL_PARAMETERS angstrom
2.537 -2.682 2.714
2.944 1.875 2.968
-0.858 -0.174 4.497
ATOMIC_POSITIONS crystal
Ir 0.250 0.250 0.250
Pa 0.000 0.000 0.000
Pd 0.750 0.750 0.750



Arrangement b

! PaIrPd GGA-PBE relaxed; values from VASP
! **SG**: No. 216
&SYSTEM
  ibrav = 0, nat = 3, ntyp = 3
/
ATOMIC_SPECIES
Pd 106.42 Pd.upf
Pa 231.04 Pa.upf
Ir 192.22 Ir.upf
CELL_PARAMETERS angstrom
-2.467 0.496 3.776
-0.541 4.115 1.833
-4.043 2.053 -0.185
ATOMIC_POSITIONS crystal
Pd 0.250 0.250 0.250
Pa 0.750 0.750 0.750
Ir 0.000 0.000 0.000



Which one sits at the top of the stability order? arrangement b does.



Arrangement a

! ScPaIr GGA-PBE relaxed; values from VASP
! **SG**: No. 216
&SYSTEM
  ibrav = 0, nat = 3, ntyp = 3
/
ATOMIC_SPECIES
Sc 44.96 Sc.upf
Ir 192.22 Ir.upf
Pa 231.04 Pa.upf
CELL_PARAMETERS angstrom
-0.183 -2.055 4.193
1.536 -4.382 0.524
3.941 -0.827 2.370
ATOMIC_POSITIONS crystal
Sc 0.250 0.250 0.250
Ir 0.000 0.000 0.000
Pa 0.750 0.750 0.750



Arrangement b

! ScPaIr GGA-PBE relaxed; values from VASP
! **SG**: No. 216
&SYSTEM
  ibrav = 0, nat = 3, ntyp = 3
/
ATOMIC_SPECIES
Ir 192.22 Ir.upf
Pa 231.04 Pa.upf
Sc 44.96 Sc.upf
CELL_PARAMETERS angstrom
-4.555 0.459 0.174
-2.170 2.529 -3.145
-2.629 -2.030 -3.156
ATOMIC_POSITIONS crystal
Ir 0.250 0.250 0.250
Pa 0.000 0.000 0.000
Sc 0.750 0.750 0.750



Which one sits at the top of the stability order? arrangement a does.



Arrangement a

! PaIrW GGA-PBE relaxed; values from VASP
! **SG**: No. 216
&SYSTEM
  ibrav = 0, nat = 3, ntyp = 3
/
ATOMIC_SPECIES
W 183.84 W.upf
Pa 231.04 Pa.upf
Ir 192.22 Ir.upf
CELL_PARAMETERS angstrom
2.274 1.313 3.713
-2.274 1.313 3.713
0.000 -2.625 3.713
ATOMIC_POSITIONS crystal
W 0.250 0.250 0.250
Pa 0.750 0.750 0.750
Ir 0.000 0.000 0.000



Arrangement b

! PaIrW GGA-PBE relaxed; values from VASP
! **SG**: No. 216
&SYSTEM
  ibrav = 0, nat = 3, ntyp = 3
/
ATOMIC_SPECIES
W 183.84 W.upf
Ir 192.22 Ir.upf
Pa 231.04 Pa.upf
CELL_PARAMETERS angstrom
3.640 -2.666 0.062
0.145 -3.557 2.772
-0.237 -4.181 -1.680
ATOMIC_POSITIONS crystal
W 0.750 0.750 0.750
Ir 0.250 0.250 0.250
Pa 0.000 0.000 0.000



Which one sits at the top of the stability order? arrangement a does.



Arrangement a

! Ir7Pb GGA-PBE relaxed; values from VASP
! **SG**: No. 129
&SYSTEM
  ibrav = 0, nat = 16, ntyp = 2
/
ATOMIC_SPECIES
Ir 192.22 Ir.upf
Pb 207.20 Pb.upf
CELL_PARAMETERS angstrom
-1.715 2.023 -0.890
-2.022 -0.982 1.665
13.846 25.847 32.064
ATOMIC_POSITIONS crystal
Ir 0.500 0.000 0.566
Ir 0.500 0.000 0.216
Ir 0.500 0.000 0.653
Ir 0.000 0.500 0.434
Ir 0.000 0.500 0.522
Ir 0.500 0.000 0.741
Ir 0.500 0.000 0.303
Ir 0.000 0.500 0.259
Ir 0.500 0.000 0.390
Ir 0.000 0.500 0.784
Ir 0.500 0.000 0.478
Ir 0.000 0.500 0.697
Ir 0.000 0.500 0.347
Ir 0.000 0.500 0.610
Pb 0.000 0.500 0.163
Pb 0.500 0.000 0.837



Arrangement b

! Ir7Pb GGA-PBE relaxed; values from VASP
! **SG**: No. 59
&SYSTEM
  ibrav = 0, nat = 16, ntyp = 2
/
ATOMIC_SPECIES
Pb 207.20 Pb.upf
Ir 192.22 Ir.upf
CELL_PARAMETERS angstrom
-1.780 -2.028 0.683
0.819 -1.828 -3.295
26.291 -17.586 16.292
ATOMIC_POSITIONS crystal
Pb 0.000 0.000 0.199
Pb 0.500 0.500 0.801
Ir 0.000 0.000 0.673
Ir 0.000 0.000 0.366
Ir 0.500 0.500 0.327
Ir 0.500 0.500 0.481
Ir 0.500 0.500 0.558
Ir 0.500 0.500 0.252
Ir 0.500 0.500 0.634
Ir 0.000 0.000 0.519
Ir 0.000 0.000 0.596
Ir 0.000 0.000 0.289
Ir 0.000 0.000 0.748
Ir 0.000 0.000 0.442
Ir 0.500 0.500 0.711
Ir 0.500 0.500 0.404



Which one sits at the top of the stability order? arrangement b does.



Arrangement a

! Ir15Pb GGA-PBE relaxed; values from VASP
! **SG**: No. 13
&SYSTEM
  ibrav = 0, nat = 32, ntyp = 2
/
ATOMIC_SPECIES
Ir 192.22 Ir.upf
Pb 207.20 Pb.upf
CELL_PARAMETERS angstrom
-2.783 2.579 -2.821
-18.983 -29.383 -8.130
-1.797 -0.049 4.374
ATOMIC_POSITIONS crystal
Ir 0.500 0.328 0.250
Ir 0.000 0.748 0.250
Ir 0.500 0.710 0.250
Ir 0.500 0.217 0.750
Ir 0.500 0.783 0.250
Ir 0.500 0.252 0.250
Ir 0.500 0.405 0.250
Ir 0.500 0.595 0.750
Ir 0.000 0.519 0.250
Ir 0.500 0.748 0.750
Ir 0.500 0.634 0.250
Ir 0.000 0.710 0.750
Ir 0.000 0.443 0.250
Ir 0.000 0.481 0.750
Ir 0.000 0.633 0.750
Ir 0.500 0.672 0.750
Ir 0.000 0.595 0.250
Ir 0.500 0.290 0.750
Ir 0.000 0.557 0.750
Ir 0.500 0.481 0.250
Ir 0.000 0.328 0.750
Ir 0.000 0.405 0.750
Ir 0.500 0.557 0.250
Ir 0.000 0.252 0.750
Ir 0.500 0.443 0.750
Ir 0.000 0.290 0.250
Ir 0.500 0.366 0.750
Ir 0.500 0.519 0.750
Ir 0.000 0.672 0.250
Ir 0.000 0.367 0.250
Pb 0.000 0.804 0.750
Pb 0.000 0.196 0.250



Arrangement b

! Ir15Pb GGA-PBE relaxed; values from VASP
! **SG**: No. 11
&SYSTEM
  ibrav = 0, nat = 32, ntyp = 2
/
ATOMIC_SPECIES
Ir 192.22 Ir.upf
Pb 207.20 Pb.upf
CELL_PARAMETERS angstrom
-2.000 -4.896 1.365
3.311 -1.659 -1.098
13.015 3.960 33.262
ATOMIC_POSITIONS crystal
Ir 0.125 0.000 0.290
Ir 0.375 0.500 0.481
Ir 0.875 0.500 0.481
Ir 0.375 0.500 0.633
Ir 0.875 0.500 0.328
Ir 0.625 0.000 0.367
Ir 0.871 0.500 0.253
Ir 0.375 0.500 0.329
Ir 0.625 0.000 0.443
Ir 0.129 0.000 0.747
Ir 0.125 0.000 0.519
Ir 0.625 0.000 0.216
Ir 0.125 0.000 0.366
Ir 0.375 0.500 0.784
Ir 0.375 0.500 0.557
Ir 0.875 0.500 0.710
Ir 0.125 0.000 0.596
Ir 0.875 0.500 0.558
Ir 0.625 0.000 0.291
Ir 0.625 0.000 0.671
Ir 0.125 0.000 0.442
Ir 0.125 0.000 0.672
Ir 0.625 0.000 0.519
Ir 0.620 0.000 0.747
Ir 0.875 0.500 0.634
Ir 0.375 0.500 0.405
Ir 0.875 0.500 0.404
Ir 0.375 0.500 0.709
Ir 0.380 0.500 0.253
Ir 0.625 0.000 0.595
Pb 0.875 0.500 0.802
Pb 0.125 0.000 0.198



Which one sits at the top of the stability order? arrangement a does.